(1)
Entry from the Alexandria database: a geometry-optimized Na2CeFeO6 structure (PBE with a Hubbard U).

Calculated values
The calculation puts the density at 4.21 g cm⁻³. Its space group is No. 225. The value obtained for the calculated total energy is -6.04 eV per atom. As for the volume: 13.3 Å³ per atom. The crystal system is cubic.

Cell lengths 5.7343, 5.7343, 5.7343 Å; angles 60.00, 60.00, 60.00 degrees
Closest atoms and distances in Å follow each position.
Fractional coordinates of all 10 atoms:
Na (0.2500, 0.2500, 0.2500)  12 O 2.87
Na (0.7500, 0.7500, 0.7500)  12 O 2.87
Ce (0.0000, 0.0000, 0.0000)  6 O 2.19
Fe (0.5000, 0.5000, 0.5000)  6 O 1.86
O (0.2701, 0.2701, 0.7299)  1 Fe 1.86
O (0.2701, 0.7299, 0.2701)  1 Fe 1.86
O (0.2701, 0.7299, 0.7299)  1 Fe 1.86
O (0.7299, 0.2701, 0.2701)  1 Fe 1.86
O (0.7299, 0.2701, 0.7299)  1 Fe 1.86
O (0.7299, 0.7299, 0.2701)  1 Fe 1.86


(2)
Entry from the Alexandria database: a geometry-optimized Na2CeFeO4 structure (PBE with a Hubbard U).

Calculated values
The calculation puts the density at 4.75 g cm⁻³. Its space group is No. 10. The value obtained for the calculated total energy is -6.43 eV per atom. As for the volume: 13.4 Å³ per atom. The crystal system is monoclinic.

Cell lengths 5.6155, 3.4284, 5.8765 Å; angles 90.00, 108.92, 90.00 degrees
Closest atoms and distances in Å follow each position.
Fractional coordinates of all 8 atoms:
Na (0.0000, 0.0000, 0.0000)  6 O 2.41-2.56
Na (0.5000, 0.5000, 0.0000)  6 O 2.47-2.50
Ce (0.0000, 0.5000, 0.5000)  6 O 2.22-2.29
Fe (0.5000, 0.0000, 0.5000)  6 O 2.24-2.28
O (0.2333, 0.0000, 0.7212)  1 Fe 2.28, 2 Ce 2.29, 3 Na 2.41-2.50
O (0.2708, 0.5000, 0.2956)  1 Ce 2.22, 2 Fe 2.24, 1 Na 2.47
O (0.7292, 0.5000, 0.7044)  1 Ce 2.22, 2 Fe 2.24, 1 Na 2.47
O (0.7667, 0.0000, 0.2788)  1 Fe 2.28, 2 Ce 2.29, 3 Na 2.41-2.50


(3)
Entry from the Alexandria database: a geometry-optimized NaSrCeFeO6 structure (PBE with a Hubbard U).

Calculated values
The calculation puts the density at 4.91 g cm⁻³. Its space group is No. 216. The value obtained for the calculated total energy is -6.51 eV per atom. As for the volume: 13.6 Å³ per atom. The crystal system is cubic.

Cell lengths 5.7731, 5.7731, 5.7731 Å; angles 60.00, 60.00, 60.00 degrees
Closest atoms and distances in Å follow each position.
Fractional coordinates of all 10 atoms:
Na (0.0000, 0.0000, 0.0000)  12 O 2.89
Sr (0.5000, 0.5000, 0.5000)  12 O 2.89
Ce (0.7500, 0.7500, 0.7500)  6 O 2.18
Fe (0.2500, 0.2500, 0.2500)  6 O 1.90
O (0.0171, 0.0171, 0.4829)  1 Fe 1.90
O (0.0171, 0.4829, 0.0171)  1 Fe 1.90
O (0.0171, 0.4829, 0.4829)  1 Fe 1.90
O (0.4829, 0.0171, 0.0171)  1 Fe 1.90
O (0.4829, 0.0171, 0.4829)  1 Fe 1.90
O (0.4829, 0.4829, 0.0171)  1 Fe 1.90


| no. | total magnetic moment (μB per formula unit) |
| --- | --- |
| 1 | 4.0 |
| 2 | 4.0 |
| 3 | 3.2 |